The following is a DFT calculation (PBE) of Se2IBrO after structural relaxation.

Cell: 5.429 5.429 5.677 Å, 90.00 90.00 90.00°
Atoms (fractional coordinates):
1 Br 0.000 0.000 0.500
2 I 0.000 0.000 0.000
3 Se 0.000 0.500 0.000
4 Se 0.500 0.000 0.000
5 O 0.500 0.500 0.500

Properties
* D(E_F): 10.10 states/eV/cell
* raw total energy: -1.750 eV per atom
* M_tot: 0.1 μB per formula unit
* E_form (uncorrected): 1.280 eV per atom

The following is a DFT calculation (PBE) of Na2Sr2S after structural relaxation.

Cell: 7.949 7.949 6.953 Å, 90.00 90.00 90.00°
Atoms (fractional coordinates):
1 Sr 0.190 0.310 0.000
2 Sr 0.810 0.690 0.000
3 Sr 0.690 0.190 0.000
4 Sr 0.310 0.810 0.000
5 S 0.500 0.500 0.000
6 S 0.000 0.000 0.000
7 Na 0.146 0.646 0.500
8 Na 0.854 0.354 0.500
9 Na 0.354 0.146 0.500
10 Na 0.646 0.854 0.500

Properties
* D(E_F): 6.70 states/eV/cell
* raw total energy: -2.574 eV per atom
* M_tot: 0.0 μB per formula unit
* E_form (uncorrected): -0.548 eV per atom

The following is a DFT calculation (PBE) of Na2ZnIn2 after structural relaxation.

Cell: 7.251 7.251 5.179 Å, 90.00 90.00 90.00°
Atoms (fractional coordinates):
1 Na 0.332 0.168 0.500
2 Na 0.832 0.332 0.500
3 Na 0.168 0.668 0.500
4 Na 0.668 0.832 0.500
5 In 0.144 0.356 0.000
6 In 0.856 0.644 0.000
7 In 0.356 0.856 0.000
8 In 0.644 0.144 0.000
9 Zn 0.500 0.500 0.000
10 Zn 0.000 0.000 0.000

Properties
* formation energy: -0.02 eV/atom
* D(E_F): 7.96 states/eV/cell
* raw total energy: -1.896 eV per atom
* M_tot: 0.0 μB per formula unit

The following is a DFT calculation (PBE) of TbThCu2Si2 after structural relaxation.

Cell: 4.134 4.134 7.942 Å, 90.00 90.00 120.00°
Atoms (fractional coordinates):
1 Si 0.333 0.667 0.244
2 Si 0.667 0.333 0.756
3 Tb 0.000 0.000 0.000
4 Cu 0.667 0.333 0.246
5 Cu 0.333 0.667 0.754
6 Th 0.000 0.000 0.500

Properties
* D(E_F): 2.88 states/eV/cell
* raw total energy: -5.843 eV per atom
* M_tot: 0.0 μB per formula unit
* E_form (uncorrected): -0.661 eV per atom